Entry 1:
LiHfCl3: relaxed, PBE.

E_form (uncorrected)	-1035	meV/atom

Lattice parameters (Å, degrees): 5.0088 5.0088 5.0088 90.00 90.00 90.00
Fractional positions:
Li1 0.5000 0.5000 0.5000
Hf1 0.0000 0.0000 0.0000
Cl1 0.0000 0.5000 0.0000
Cl2 0.0000 0.0000 0.5000
Cl3 0.5000 0.0000 0.0000

***

Entry 2:
Pr3AlIn3: relaxed, PBE.

formation energy	-44.0	kJ per mole of atoms

Lattice parameters (Å, degrees): 4.6966 6.3436 14.8838 83.67 80.92 68.27
Fractional positions:
Pr1 0.5220 0.3381 0.6179
Pr2 0.4780 0.6619 0.3821
Pr3 0.2624 0.2469 0.2284
Pr4 0.7376 0.7531 0.7716
Pr5 0.3947 0.2876 0.9230
Pr6 0.6053 0.7124 0.0770
Al1 0.7686 0.0804 0.3825
Al2 0.2314 0.9196 0.6175
In1 0.8545 0.7491 0.5419
In2 0.1455 0.2509 0.4581
In3 0.1144 0.8476 0.9236
In4 0.8856 0.1524 0.0764
In5 0.9801 0.8078 0.2320
In6 0.0199 0.1922 0.7680

***

Entry 3:
HfAl3Te: relaxed, PBE.

E_form (uncorrected)	947	meV/atom

Lattice parameters (Å, degrees): 5.3342 5.3342 5.3342 90.00 90.00 90.00
Fractional positions:
Te1 0.5000 0.5000 0.5000
Hf1 0.0000 0.0000 0.0000
Al1 0.0000 0.5000 0.0000
Al2 0.0000 0.0000 0.5000
Al3 0.5000 0.0000 0.0000

***

Entry 4:
Rb3AsCl8: relaxed, PBE.

E_form (uncorrected)	-951	meV/atom

Lattice parameters (Å, degrees): 7.4210 7.4210 9.0627 114.17 114.17 90.00
Fractional positions:
Rb1 0.7500 0.2500 0.5000
Rb2 0.5000 0.5000 0.0000
Rb3 0.2500 0.7500 0.5000
As1 0.0000 0.0000 0.0000
Cl1 0.3171 0.3171 0.2133
Cl2 0.3171 0.8962 0.2133
Cl3 0.1038 0.6829 0.7867
Cl4 0.1038 0.1038 0.7867
Cl5 0.8962 0.8962 0.2133
Cl6 0.8962 0.3171 0.2133
Cl7 0.6829 0.1038 0.7867
Cl8 0.6829 0.6829 0.7867

***

Entry 5:
PrHo12Th5: relaxed, PBE.

formation energy	4.2	kJ per mole of atoms

Lattice parameters (Å, degrees): 10.6122 10.6595 6.1602 106.73 90.00 60.15
Fractional positions:
Pr1 0.0000 0.0000 0.0000
Ho1 0.8329 0.9999 0.4999
Ho2 0.1671 0.0001 0.5001
Ho3 0.6625 0.0000 0.0000
Ho4 0.3375 0.0000 0.0000
Ho5 0.3346 0.6634 0.0002
Ho6 0.0022 0.6635 0.0000
Ho7 0.9978 0.3365 0.0000
Ho8 0.6654 0.3366 0.9998
Ho9 0.4989 0.3329 0.5002
Ho10 0.8320 0.6672 0.4996
Ho11 0.1680 0.3328 0.5004
Ho12 0.5011 0.6671 0.4998
Th1 0.5000 0.0000 0.5000
Th2 0.1688 0.6626 0.4915
Th3 0.8312 0.3374 0.5085
Th4 0.6667 0.6669 0.9994
Th5 0.3333 0.3331 0.0006

***

Entry 6:
CaCePu2Sb4: relaxed, PBE.

E_form (uncorrected)	-755	meV/atom

Lattice parameters (Å, degrees): 4.4884 7.7412 7.7490 109.44 90.00 90.00
Fractional positions:
Ca1 0.5000 0.5000 0.0000
Ce1 0.0000 0.0000 0.0000
Pu1 0.5000 0.0000 0.5000
Pu2 0.0000 0.5000 0.5000
Sb1 0.5000 0.2484 0.2541
Sb2 0.5000 0.7516 0.7459
Sb3 0.0000 0.2424 0.7413
Sb4 0.0000 0.7576 0.2587

***

Entry 7:
AcHF2: relaxed, PBE.

DFT total energy	-5.52	eV/atom

Lattice parameters (Å, degrees): 3.7758 3.7731 3.7731 90.00 90.00 90.00
Fractional positions:
H1 0.5000 0.0000 0.0000
Ac1 0.5000 0.5000 0.5000
F1 0.0000 0.0000 0.5000
F2 0.0000 0.5000 0.0000

***

Entry 8:
Ho2LuRh: relaxed, PBE.

formation energy	-39.0	kJ per mole of atoms

Lattice parameters (Å, degrees): 3.4824 3.4824 8.4357 90.00 90.00 90.00
Fractional positions:
Lu1 0.5000 0.5000 0.5000
Rh1 0.5000 0.5000 0.0000
Ho1 0.0000 0.0000 0.8077
Ho2 0.0000 0.0000 0.1923